This record from Alexandria via LeMat-Bulk describes a relaxed Ta2BeTeI crystal. The functional is GGA-PBE.

Unit cell a=5.066 b=5.754 c=5.066 alpha=90.00 beta=90.00 gamma=90.00
Site moments in Bohr magnetons follow the coordinates.
Positions (direct):
1 I 0.000 0.000 0.000  0.00
2 Be 0.500 0.500 0.500  -0.01
3 Te 0.000 0.500 0.000  0.00
4 Ta 0.000 0.000 0.500  0.29
5 Ta 0.500 0.000 0.000  0.35

Summary:
- symmetry = P4/mmm, No. 123
- formation energy from raw total energies (meV/atom) = 2508